*A*
HoPdPtRh | PBE | optimized geometry

```
HoPdPtRh
1.0
-1.2674 3.7697 -0.7723
-1.9098 0.1049 3.6462
3.3887 1.4941 1.7319
Ho Pd Pt Rh
1 1 1 1
Direct
0.0000 0.5000 0.5000 Ho
0.5000 0.5000 0.0000 Pd
0.0000 0.0000 0.0000 Pt
0.5000 0.0000 0.5000 Rh
```

- Crystal system: orthorhombic
- M_tot: 0.000 μB per formula unit
- Space-group type: Pmmm (47)

---

*B*
HoPdPtRh | PBE | optimized geometry

```
HoPdPtRh
1.0
-3.1138 1.2519 3.1704
-2.7083 -3.1846 1.9590
0.6220 -1.1521 4.4272
Pd Rh Ho Pt
1 1 1 1
Direct
0.5000 0.5000 0.5000 Pd
0.0000 0.0000 0.0000 Rh
0.7500 0.7500 0.7500 Ho
0.2500 0.2500 0.2500 Pt
```

- Crystal system: cubic
- M_tot: 0.000 μB per formula unit
- Space-group type: F-43m (216)

---

Taking the most stable structure as the zero point, the relative energies in meV per atom are *A* 0; *B* 174.

---

*A*
Ho3PdRh | PBE | optimized geometry

```
Ho3PdRh
1.0
-3.8691 0.0846 -0.0198
-0.0951 -2.5624 7.6360
0.1759 8.0855 0.1555
Ho Pd Rh
6 2 2
Direct
0.7500 0.6470 0.3988 Ho
0.2500 0.3530 0.6012 Ho
0.7500 0.3154 0.9538 Ho
0.2500 0.9318 0.7575 Ho
0.2500 0.6846 0.0462 Ho
0.7500 0.0682 0.2425 Ho
0.2500 0.3459 0.2249 Pd
0.7500 0.6541 0.7751 Pd
0.2500 0.9009 0.3835 Rh
0.7500 0.0991 0.6165 Rh
```

- Crystal system: monoclinic
- M_tot: 0.000 μB per formula unit
- Space-group type: P2_1/m (11)

---

*B*
Ho3PdRh | PBE | optimized geometry

```
Ho3PdRh
1.0
5.4261 -0.1370 2.1460
1.8700 5.0955 2.1460
-0.0103 -0.0070 8.4099
Ho Pd Rh
6 2 2
Direct
0.3066 0.3066 0.8617 Ho
0.6934 0.6934 0.1383 Ho
0.0159 0.0159 0.7414 Ho
0.9841 0.9841 0.2586 Ho
0.6956 0.6956 0.6728 Ho
0.3044 0.3044 0.3272 Ho
0.7111 0.2889 0.5000 Pd
0.2889 0.7111 0.5000 Pd
0.2738 0.7262 0.0000 Rh
0.7262 0.2738 0.0000 Rh
```

- Crystal system: monoclinic
- M_tot: 0.000 μB per formula unit
- Space-group type: C2/m (12)

---

Taking the most stable structure as the zero point, the relative energies in meV per atom are *A* 0; *B* 7.

---

*A*
Ho8PdRu2 | PBE | optimized geometry

```
Ho8PdRu2
1.0
-3.2257 3.3629 1.3000
1.8079 -0.8124 6.5874
6.7305 4.5206 -3.9953
Ho Pd Ru
8 1 2
Direct
0.4028 0.5364 0.8055 Ho
0.6706 0.9660 0.3412 Ho
0.7961 0.6840 0.5923 Ho
0.9671 0.2170 0.9342 Ho
0.2039 0.3160 0.4077 Ho
0.3294 0.0340 0.6588 Ho
0.5972 0.4636 0.1945 Ho
0.0329 0.7830 0.0658 Ho
0.5000 0.0000 0.0000 Pd
0.8138 0.2954 0.6276 Ru
0.1862 0.7046 0.3724 Ru
```

- Crystal system: monoclinic
- M_tot: 0.000 μB per formula unit
- Space-group type: C2/m (12)

---

*B*
Ho8PdRu2 | PBE | optimized geometry

```
Ho8PdRu2
1.0
-0.4120 -5.7932 -0.5597
5.3828 1.4246 -5.0758
2.5194 0.4532 7.0863
Ho Pd Ru
8 1 2
Direct
0.5826 0.3427 0.0801 Ho
0.5826 0.0801 0.3427 Ho
0.1783 0.3695 0.3695 Ho
0.9889 0.2228 0.7810 Ho
0.9889 0.7810 0.2228 Ho
0.7964 0.6322 0.6322 Ho
0.3912 0.9282 0.6664 Ho
0.3912 0.6664 0.9282 Ho
0.1222 0.0008 0.0008 Pd
0.4887 0.6948 0.3155 Ru
0.4887 0.3155 0.6948 Ru
```

- Crystal system: monoclinic
- M_tot: 0.000 μB per formula unit
- Space-group type: Cm (8)

---

Taking the most stable structure as the zero point, the relative energies in meV per atom are *A* 0; *B* 41.

---

*A*
Ho3PdRu | PBE | optimized geometry

```
Ho3PdRu
1.0
-3.2549 -2.5422 -6.8229
0.2363 -6.8980 2.4572
-8.5774 -0.0587 0.6603
Ho Pd Ru
12 4 4
Direct
0.3974 0.1539 0.7713 Ho
0.6026 0.8461 0.2287 Ho
0.1026 0.6539 0.2287 Ho
0.8974 0.3461 0.7713 Ho
0.5301 0.6913 0.8570 Ho
0.4699 0.3087 0.1430 Ho
0.9699 0.1913 0.1430 Ho
0.0301 0.8087 0.8570 Ho
0.7856 0.9937 0.5339 Ho
0.2144 0.0063 0.4661 Ho
0.7144 0.4937 0.4661 Ho
0.2856 0.5063 0.5339 Ho
0.6964 0.0346 0.9067 Pd
0.3036 0.9654 0.0933 Pd
0.8036 0.5346 0.0933 Pd
0.1964 0.4654 0.9067 Pd
0.4510 0.8162 0.5910 Ru
0.5490 0.1838 0.4090 Ru
0.0490 0.3162 0.4090 Ru
0.9510 0.6838 0.5910 Ru
```

- Crystal system: monoclinic
- M_tot: 0.000 μB per formula unit
- Space-group type: P2_1/c (14)

---

*B*
Ho3PdRu | PBE | optimized geometry

```
Ho3PdRu
1.0
-5.3318 2.5947 3.2500
-5.6332 1.5179 -3.4189
-5.9117 -4.6024 1.0103
Ho Pd Ru
6 2 2
Direct
0.7417 0.3916 0.7644 Ho
0.1023 0.7417 0.7644 Ho
0.3916 0.1023 0.7644 Ho
0.2583 0.6084 0.2356 Ho
0.8977 0.2583 0.2356 Ho
0.6084 0.8977 0.2356 Ho
0.8257 0.8257 0.5230 Pd
0.1743 0.1743 0.4770 Pd
0.3251 0.3251 0.0248 Ru
0.6749 0.6749 0.9752 Ru
```

- Crystal system: trigonal
- M_tot: 0.000 μB per formula unit
- Space-group type: R-3 (148)

---

Taking the most stable structure as the zero point, the relative energies in meV per atom are *A* 0; *B* 86.

---

*A*
Ho6PdRu2 | PBE | optimized geometry

```
Ho6PdRu2
1.0
6.5543 0.0000 0.4049
0.0000 7.3666 0.0000
-0.2259 0.0000 9.4333
Ho Pd Ru
12 2 4
Direct
0.8345 0.9456 0.2379 Ho
0.8236 0.6654 0.5681 Ho
0.8519 0.6767 0.9252 Ho
0.6481 0.1767 0.5748 Ho
0.6764 0.1654 0.9319 Ho
0.6655 0.4456 0.2621 Ho
0.1655 0.0544 0.7621 Ho
0.1764 0.3346 0.4319 Ho
0.1481 0.3233 0.0748 Ho
0.3519 0.8233 0.4252 Ho
0.3236 0.8346 0.0681 Ho
0.3345 0.5544 0.7379 Ho
0.5000 0.5000 0.0000 Pd
0.0000 0.0000 0.5000 Pd
0.9637 0.3818 0.7354 Ru
0.5363 0.8818 0.7646 Ru
0.4637 0.1182 0.2354 Ru
0.0363 0.6182 0.2646 Ru
```

- Crystal system: monoclinic
- M_tot: 0.000 μB per formula unit
- Space-group type: P2_1/c (14)

---

*B*
Ho6PdRu2 | PBE | optimized geometry

```
Ho6PdRu2
1.0
-2.3230 7.7521 1.8805
1.2713 -0.9247 -8.1582
-5.9312 -5.4685 1.9858
Ho Pd Ru
12 2 4
Direct
0.5491 0.7281 0.8211 Ho
0.4509 0.2719 0.1789 Ho
0.0930 0.2719 0.8211 Ho
0.9070 0.7281 0.1789 Ho
0.8078 0.7513 0.5591 Ho
0.1922 0.2487 0.4409 Ho
0.1922 0.7513 0.9434 Ho
0.8078 0.2487 0.0566 Ho
0.6856 0.3553 0.6697 Ho
0.3144 0.6447 0.3303 Ho
0.3144 0.9841 0.6697 Ho
0.6856 0.0159 0.3303 Ho
0.0000 0.5000 0.5000 Pd
0.0000 0.0000 0.0000 Pd
0.5000 0.3756 0.8756 Ru
0.5000 0.6244 0.1244 Ru
0.6745 0.0000 0.6745 Ru
0.3255 0.0000 0.3255 Ru
```

- Crystal system: orthorhombic
- M_tot: 0.000 μB per formula unit
- Space-group type: Immm (71)

---

Taking the most stable structure as the zero point, the relative energies in meV per atom are *A* 55; *B* 0.

---

*A*
Ho8Pd2Ru | PBE | optimized geometry

```
Ho8Pd2Ru
1.0
-2.6097 -3.0799 4.2278
-1.3386 -4.5147 -6.1203
7.2715 0.1530 2.5949
Ho Pd Ru
8 2 1
Direct
0.5828 0.3355 0.0910 Ho
0.5828 0.0910 0.3355 Ho
0.1687 0.3619 0.3619 Ho
0.9898 0.2069 0.7927 Ho
0.9898 0.7927 0.2069 Ho
0.8174 0.6463 0.6463 Ho
0.3799 0.9135 0.6676 Ho
0.3799 0.6676 0.9135 Ho
0.4958 0.7041 0.3093 Pd
0.4958 0.3093 0.7041 Pd
0.1169 0.0051 0.0051 Ru
```

- Crystal system: monoclinic
- M_tot: 0.000 μB per formula unit
- Space-group type: Cm (8)

---

*B*
Ho8Pd2Ru | PBE | optimized geometry

```
Ho8Pd2Ru
1.0
-2.6048 1.9798 -3.8634
-3.9614 -5.4417 -0.1178
-2.3947 4.5823 7.2799
Ho Pd Ru
8 2 1
Direct
0.4096 0.5615 0.8192 Ho
0.6643 0.9695 0.3286 Ho
0.7995 0.6867 0.5991 Ho
0.9686 0.2076 0.9373 Ho
0.2005 0.3133 0.4009 Ho
0.3357 0.0305 0.6714 Ho
0.5904 0.4385 0.1808 Ho
0.0314 0.7924 0.0627 Ho
0.8121 0.2850 0.6241 Pd
0.1879 0.7150 0.3759 Pd
0.5000 0.0000 0.0000 Ru
```

- Crystal system: monoclinic
- M_tot: 0.000 μB per formula unit
- Space-group type: C2/m (12)

---

Taking the most stable structure as the zero point, the relative energies in meV per atom are *A* 90; *B* 0.

---

*A*
Ho4PdRu2 | PBE | optimized geometry

```
Ho4PdRu2
1.0
4.7984 0.0000 0.0000
0.0000 4.7984 0.0000
0.0000 0.0000 6.8401
Ho Pd Ru
4 1 2
Direct
0.5000 0.0000 0.2528 Ho
0.0000 0.5000 0.7472 Ho
0.5000 0.0000 0.7472 Ho
0.0000 0.5000 0.2528 Ho
0.5000 0.5000 0.0000 Pd
0.0000 0.0000 0.0000 Ru
0.5000 0.5000 0.5000 Ru
```

- Crystal system: tetragonal
- M_tot: 0.000 μB per formula unit
- Space-group type: P4/mmm (123)

---

*B*
Ho4PdRu2 | PBE | optimized geometry

```
Ho4PdRu2
1.0
7.4167 0.0182 -0.0316
-2.4539 6.9990 0.0316
-2.5090 -3.4891 6.0448
Ho Pd Ru
8 2 4
Direct
0.1366 0.8849 0.3864 Ho
0.6136 0.7502 0.4985 Ho
0.0017 0.6151 0.7515 Ho
0.2485 0.2502 0.8636 Ho
0.6134 0.7498 0.9983 Ho
0.7483 0.2498 0.8634 Ho
0.5015 0.1151 0.2517 Ho
0.1364 0.3849 0.3866 Ho
0.0000 0.0000 0.0000 Pd
0.7500 0.5000 0.2500 Pd
0.8750 0.1006 0.4756 Ru
0.5244 0.3994 0.6250 Ru
0.3750 0.8994 0.7744 Ru
0.2256 0.6006 0.1250 Ru
```

- Crystal system: tetragonal
- M_tot: 0.000 μB per formula unit
- Space-group type: I-42d (122)

---

Taking the most stable structure as the zero point, the relative energies in meV per atom are *A* 0; *B* 52.

---

*A*
HoScPdRu | PBE | optimized geometry

```
HoScPdRu
1.0
-0.1902 1.1885 -4.5742
0.4370 -3.3313 -3.3292
-3.7438 -1.2389 -2.6117
Sc Ru Ho Pd
1 1 1 1
Direct
0.0000 0.0000 0.0000 Sc
0.7500 0.7500 0.7500 Ru
0.5000 0.5000 0.5000 Ho
0.2500 0.2500 0.2500 Pd
```

- Crystal system: cubic
- M_tot: 0.000 μB per formula unit
- Space-group type: F-43m (216)

---

*B*
HoScPdRu | PBE | optimized geometry

```
HoScPdRu
1.0
3.3561 0.0000 0.0000
0.0000 3.3561 0.0000
0.0000 0.0000 6.6570
Ho Sc Pd Ru
1 1 1 1
Direct
0.5000 0.5000 0.0978 Ho
0.5000 0.5000 0.6181 Sc
0.0000 0.0000 0.3707 Pd
0.0000 0.0000 0.8414 Ru
```

- Crystal system: tetragonal
- M_tot: 0.000 μB per formula unit
- Space-group type: P4mm (99)

---

Taking the most stable structure as the zero point, the relative energies in meV per atom are *A* 47; *B* 0.

---

*A*
HoTmPdRu | PBE | optimized geometry

```
HoTmPdRu
1.0
4.8312 0.0000 0.0000
2.4156 4.1840 0.0000
2.4156 1.3947 3.9447
Ru Tm Ho Pd
1 1 1 1
Direct
0.2500 0.2500 0.2500 Ru
0.0000 0.0000 0.0000 Tm
0.5000 0.5000 0.5000 Ho
0.7500 0.7500 0.7500 Pd
```

- Crystal system: cubic
- M_tot: 0.000 μB per formula unit
- Space-group type: F-43m (216)

---

*B*
HoTmPdRu | PBE | optimized geometry

```
HoTmPdRu
1.0
3.4228 0.0000 0.0000
0.0000 3.4228 0.0000
0.0000 0.0000 6.8345
Ho Tm Pd Ru
1 1 1 1
Direct
0.5000 0.5000 0.0969 Ho
0.5000 0.5000 0.6164 Tm
0.0000 0.0000 0.3603 Pd
0.0000 0.0000 0.8543 Ru
```

- Crystal system: tetragonal
- M_tot: 0.000 μB per formula unit
- Space-group type: P4mm (99)

---

Taking the most stable structure as the zero point, the relative energies in meV per atom are *A* 37; *B* 0.

---

*A*
HoSbPd5 | PBE | optimized geometry

```
HoSbPd5
1.0
4.1748 0.0000 0.0000
0.0000 4.1749 0.0000
0.0000 0.0000 7.3673
Ho Sb Pd
1 1 5
Direct
0.0000 0.0000 0.5000 Ho
0.5000 0.5000 0.0000 Sb
0.0000 0.5000 0.7754 Pd
0.0000 0.5000 0.2246 Pd
0.5000 0.0000 0.7754 Pd
0.5000 0.0000 0.2246 Pd
0.5000 0.5000 0.5000 Pd
```

- Crystal system: tetragonal
- M_tot: 0.000 μB per formula unit
- Space-group type: P4/mmm (123)

---

*B*
HoSbPd5 | PBE | optimized geometry

```
HoSbPd5
1.0
-3.2229 -0.0778 6.6399
-0.9734 -5.2500 -0.5340
5.2424 1.9266 -1.5355
Ho Sb Pd
1 1 5
Direct
0.9468 0.5000 0.0000 Ho
0.6173 0.0000 0.0000 Sb
0.1115 0.1855 0.3710 Pd
0.5932 0.5000 0.0000 Pd
0.7405 0.8145 0.6290 Pd
0.2607 0.7586 0.0000 Pd
0.2607 0.2414 0.0000 Pd
```

- Crystal system: orthorhombic
- M_tot: 0.000 μB per formula unit
- Space-group type: Imm2 (44)

---

Taking the most stable structure as the zero point, the relative energies in meV per atom are *A* 0; *B* 426.

---

*A*
HoSbPd6 | PBE | optimized geometry

```
HoSbPd6
1.0
-2.6851 -0.3192 4.7342
-2.8686 -4.4755 1.2105
3.6585 -4.3344 4.9220
Ho Sb Pd
1 1 6
Direct
0.5000 0.5000 0.5000 Ho
0.0000 0.0000 0.0000 Sb
0.9307 0.9307 0.6977 Pd
0.4409 0.9307 0.6977 Pd
0.0693 0.5591 0.3023 Pd
0.5591 0.0693 0.3023 Pd
0.0693 0.0693 0.3023 Pd
0.9307 0.4409 0.6977 Pd
```

- Crystal system: trigonal
- M_tot: 0.000 μB per formula unit
- Space-group type: R-3m (166)

---

*B*
HoSbPd6 | PBE | optimized geometry

```
HoSbPd6
1.0
4.1107 0.0000 0.0000
0.0000 5.7473 -0.0368
0.0000 0.0363 5.7473
Ho Sb Pd
1 1 6
Direct
0.5000 0.0000 0.0000 Ho
0.5000 0.5000 0.5000 Sb
0.0000 0.7485 0.2515 Pd
0.0000 0.2515 0.7485 Pd
0.0000 0.7486 0.7486 Pd
0.0000 0.2514 0.2514 Pd
0.5000 0.5000 0.0000 Pd
0.5000 0.0000 0.5000 Pd
```

- Crystal system: tetragonal
- M_tot: 0.000 μB per formula unit
- Space-group type: P4/mmm (123)

---

Taking the most stable structure as the zero point, the relative energies in meV per atom are *A* 328; *B* 0.